# 1
A plane-wave DFT calculation with PBE was carried out for ZrTe2Cl after structural relaxation.

a = 3.525 Å, b = 4.908 Å, c = 6.565 Å
α = 60.86°, β = 90.00°, γ = 90.00°
Positions (direct):
Zr  0.500  0.500  0.500
Te  0.500  0.500  0.000
Te  0.000  0.000  0.000
Cl  0.000  0.000  0.500

Values from the calculation:
**Uncorrected formation energy**: -165.7 meV/atom
**SG**: No. 10
**Electronic total energy**: -4.335 eV per atom
**Energy relative to the lowest polymorph listed for this composition**: 679 meV/atom

---

# 2
A plane-wave DFT calculation with PBE was carried out for RbCe3Br8 after structural relaxation.

a = 8.318 Å, b = 8.318 Å, c = 9.836 Å
α = 64.99°, β = 64.99°, γ = 60.00°
Site moments in Bohr magnetons follow the coordinates.
Positions (direct):
Br  0.264  0.766  0.204  -0.01
Br  0.261  0.261  0.218  -0.01
Br  0.766  0.766  0.204  -0.01
Br  0.234  0.736  0.796  -0.01
Br  0.766  0.264  0.204  -0.01
Br  0.736  0.234  0.796  -0.01
Br  0.739  0.739  0.782  -0.01
Br  0.234  0.234  0.796  -0.01
Ce  0.500  0.000  0.000  1.30
Ce  0.500  0.500  0.000  1.30
Ce  0.000  0.500  0.000  1.30
Rb  0.500  0.500  0.500  0.00

Values from the calculation:
**Uncorrected formation energy**: -1704.6 meV/atom
**SG**: No. 166
**Electronic total energy**: -4.384 eV per atom

---

# 3
A plane-wave DFT calculation with PBE was carried out for RbHfBr6 after structural relaxation.

a = 6.686 Å, b = 6.686 Å, c = 6.731 Å
α = 81.67°, β = 81.67°, γ = 98.20°
Positions (direct):
Br  0.277  0.277  0.085
Br  0.083  0.721  0.276
Br  0.723  0.723  0.915
Br  0.279  0.917  0.724
Br  0.721  0.083  0.276
Br  0.917  0.279  0.724
Rb  0.500  0.500  0.500
Hf  0.000  0.000  0.000

Values from the calculation:
**Uncorrected formation energy**: -1250.9 meV/atom
**SG**: No. 12
**Electronic total energy**: -3.871 eV per atom

---

# 4
A plane-wave DFT calculation with PBE was carried out for LiSeS2N after structural relaxation.

a = 4.894 Å, b = 4.894 Å, c = 3.884 Å
α = 90.00°, β = 90.00°, γ = 90.00°
Site moments in Bohr magnetons follow the coordinates.
Positions (direct):
N  0.000  0.000  0.500  0.82
Li  0.500  0.500  0.500  0.00
Se  0.000  0.000  0.000  0.00
S  0.000  0.500  0.000  0.19
S  0.500  0.000  0.000  0.19

Values from the calculation:
**Uncorrected formation energy**: 721.5 meV/atom
**SG**: No. 123
**Electronic total energy**: -3.674 eV per atom
**Energy relative to the lowest polymorph listed for this composition**: 0 meV/atom

---

# 5
A plane-wave DFT calculation with PBE was carried out for TaP after structural relaxation.

a = 3.108 Å, b = 3.108 Å, c = 3.108 Å
α = 90.00°, β = 90.00°, γ = 90.00°
Positions (direct):
P  0.000  0.000  0.000
Ta  0.500  0.500  0.500

Values from the calculation:
**ΔH_f (0 K)**: -551 meV per atom
**SG**: No. 221
**Electronic total energy**: -9.182 eV per atom

---

# 6
A plane-wave DFT calculation with PBE was carried out for Tc2NiSb6 after structural relaxation.

a = 5.996 Å, b = 6.285 Å, c = 6.285 Å
α = 120.00°, β = 90.00°, γ = 90.00°
Positions (direct):
Sb  0.790  0.000  0.350
Sb  0.210  0.000  0.650
Sb  0.210  0.650  0.000
Sb  0.790  0.650  0.650
Sb  0.790  0.350  0.000
Sb  0.210  0.350  0.350
Ni  0.000  0.000  0.000
Tc  0.500  0.333  0.667
Tc  0.500  0.667  0.333

Values from the calculation:
**Uncorrected formation energy**: 33.5 meV/atom
**SG**: No. 162
**Electronic total energy**: -5.661 eV per atom